[1]
DFT (PBE) results for crystalline CsPaAuS4 at its relaxed geometry.

Summary:
For the total energy, the calculation gives -37.371 eV/f.u. For the uncorrected formation energy, the calculation gives -1.033 eV/atom.

Cell lengths 7.030, 5.532, 10.124 Å; angles 90.00, 108.63, 90.00 degrees
Sites, in units of the cell vectors:
Cs 0.243 0.250 0.039
Cs 0.757 0.750 0.961
Pa 0.272 0.250 0.547
Pa 0.728 0.750 0.453
Au 0.238 0.750 0.293
Au 0.762 0.250 0.707
S 0.029 0.516 0.673
S 0.029 0.984 0.673
S 0.430 0.750 0.571
S 0.496 0.750 0.192
S 0.504 0.250 0.808
S 0.570 0.250 0.429
S 0.971 0.016 0.327
S 0.971 0.484 0.327

---

[2]
DFT (PBE) results for crystalline PaMnPd2 at its relaxed geometry.

Summary:
For the total energy, the calculation gives -30.291 eV/f.u. Its excess energy over the best structure of this formula in the dataset is 0.438 eV per formula unit.

Cell lengths 5.130, 5.130, 5.130 Å; angles 51.59, 51.59, 51.59 degrees
Sites, in units of the cell vectors:
Pa 0.000 0.000 0.000
Mn 0.500 0.500 0.500
Pd 0.222 0.222 0.222
Pd 0.778 0.778 0.778

---

> What is the formula in the first record?

CsPaAuS4